1.
First-principles (PBE-GGA) data for crystalline MoPtPb2 at its relaxed geometry, as listed in Alexandria.

Structure (extended XYZ):
```
4
Lattice="-3.626 -0.211 -2.805 -1.873 -0.262 2.441 -0.692 5.905 0.451" Properties=species:S:1:pos:R:3 pbc="T T T"
Pb -0.786 5.870 0.574
Pb -1.189 2.856 1.322
Mo -3.736 4.127 0.766
Pt -2.454 1.305 -0.680
```

Summary:
**Crystal system**: monoclinic
**E_form**: 0.60 eV/atom
**Total magnetic moment**: 0.00 μB per cell
**Raw total energy**: -21.89 eV for the cell shown
**E above lowest polymorph**: 446.6 meV/atom
**SG**: No. 10

2.
First-principles (PBE-GGA) data for crystalline MoPtPb4 at its relaxed geometry, as listed in Alexandria.

Structure (extended XYZ):
```
6
Lattice="0.000 4.385 4.385 4.385 0.000 4.385 4.385 4.385 0.000" Properties=species:S:1:pos:R:3 pbc="T T T"
Pb 3.289 5.481 5.481
Pb 3.289 3.289 3.289
Pb 5.481 3.289 5.481
Pb 5.481 5.481 3.289
Mo 0.000 0.000 0.000
Pt 6.577 6.577 6.577
```

Summary:
**Crystal system**: cubic
**E_form**: 1.04 eV/atom
**Total magnetic moment**: 3.95 μB per cell
**Raw total energy**: -25.46 eV for the cell shown
**SG**: No. 216

Theoretical density (computed, g/cm3): 13.9; 11.0